{"formula": "Nb2RhW2", "functional": "PBE-GGA", "state": "relaxed", "lattice": [[6.589, 0.000, 0.000], [0.000, 6.589, 0.000], [0.000, 0.000, 4.110]], "species": ["Nb", "Nb", "Nb", "Nb", "Rh", "Rh", "W", "W", "W", "W"], "frac_coords": [[0.175, 0.325, 0.000], [0.325, 0.825, 0.000], [0.675, 0.175, 0.000], [0.825, 0.675, 0.000], [0.000, 0.000, 0.500], [0.500, 0.500, 0.500], [0.133, 0.633, 0.500], [0.367, 0.133, 0.500], [0.633, 0.867, 0.500], [0.867, 0.367, 0.500]], "polymorph_energy_ev_per_atom": 0.000, "crystal_system": "tetragonal", "final_energy_ev_per_atom": -10.297, "dos_at_fermi_per_ev_fu": 4.549}